KNaW2O6 | meta-GGA SCAN | single point on PBEsol structure

```
KNaW2O6
1.0
3.905 0.000 0.000
0.000 3.905 0.000
0.000 0.000 7.792
W O Na K
2 6 1 1
direct
0.000 0.000 0.752 W
0.000 0.000 0.248 W
0.000 0.000 0.000 O
0.500 0.000 0.754 O
0.000 0.500 0.754 O
0.000 0.000 0.500 O
0.500 0.000 0.246 O
0.000 0.500 0.246 O
0.500 0.500 0.000 Na
0.500 0.500 0.500 K
```

ΔE_f (raw)	-2.256	eV/atom
uncorrected energy	-21.19	eV per atom
calculated volume	11.88	Å³ per atom